i | Computed, not measured: an optimized crystal structure of Re2RhW at the PBE level of DFT. Values from VASP.

The structure in Quantum ESPRESSO input format:
```
&SYSTEM
  ibrav = 0, nat = 4, ntyp = 3
/
ATOMIC_SPECIES
Re 186.21 Re.upf
Rh 102.91 Rh.upf
W 183.84 W.upf
CELL_PARAMETERS angstrom
2.706 0.000 0.000
0.000 4.385 0.000
-1.044 0.000 5.130
ATOMIC_POSITIONS crystal
Re 0.000 0.000 0.000
Re 0.295 0.500 0.743
Rh 0.583 0.500 0.246
W 0.606 0.000 0.497
```

Values from the calculation:
Density in Mg/m³: 18.0
Symmetry: No. 6
V in Å³ per atom: 15.220

---

ii | Computed, not measured: an optimized crystal structure of Re2RhW at the PBE level of DFT. Values from VASP.

The structure in Quantum ESPRESSO input format:
```
&SYSTEM
  ibrav = 0, nat = 4, ntyp = 3
/
ATOMIC_SPECIES
Re 186.21 Re.upf
Rh 102.91 Rh.upf
W 183.84 W.upf
CELL_PARAMETERS angstrom
1.378 0.796 9.217
-1.378 0.796 9.217
0.000 -1.592 9.217
ATOMIC_POSITIONS crystal
Re 0.247 0.247 0.247
Re 0.753 0.753 0.753
Rh 0.500 0.500 0.500
W 0.000 0.000 0.000
```

Values from the calculation:
Density in Mg/m³: 18.0
Symmetry: No. 166
V in Å³ per atom: 15.168

---

iii | Computed, not measured: an optimized crystal structure of Re2RhW at the PBE level of DFT. Values from VASP.

The structure in Quantum ESPRESSO input format:
```
&SYSTEM
  ibrav = 0, nat = 4, ntyp = 3
/
ATOMIC_SPECIES
Re 186.21 Re.upf
Rh 102.91 Rh.upf
W 183.84 W.upf
CELL_PARAMETERS angstrom
2.750 0.000 0.000
0.000 2.750 0.000
0.000 0.000 7.992
ATOMIC_POSITIONS crystal
Re 0.000 0.000 0.245
Re 0.000 0.000 0.755
Rh 0.500 0.500 0.000
W 0.500 0.500 0.500
```

Values from the calculation:
Density in Mg/m³: 18.1
Symmetry: No. 123
V in Å³ per atom: 15.114

---

iv | Computed, not measured: an optimized crystal structure of Re2RhW at the PBE level of DFT. Values from VASP.

The structure in Quantum ESPRESSO input format:
```
&SYSTEM
  ibrav = 0, nat = 4, ntyp = 3
/
ATOMIC_SPECIES
Re 186.21 Re.upf
Rh 102.91 Rh.upf
W 183.84 W.upf
CELL_PARAMETERS angstrom
-1.964 1.964 3.900
1.964 -1.964 3.900
1.964 1.964 -3.900
ATOMIC_POSITIONS crystal
Re 0.000 0.000 0.000
Re 0.750 0.250 0.500
Rh 0.500 0.500 0.000
W 0.250 0.750 0.500
```

Values from the calculation:
Density in Mg/m³: 18.2
Symmetry: No. 119
V in Å³ per atom: 15.042

---

Stability, descending: iv, i, iii, ii

---

i | Computed, not measured: an optimized crystal structure of Re2RhW at the PBE level of DFT. Values from VASP.

The structure in Quantum ESPRESSO input format:
```
&SYSTEM
  ibrav = 0, nat = 4, ntyp = 3
/
ATOMIC_SPECIES
Re 186.21 Re.upf
Rh 102.91 Rh.upf
W 183.84 W.upf
CELL_PARAMETERS angstrom
2.674 0.000 0.000
0.000 4.116 0.000
-0.567 0.000 5.535
ATOMIC_POSITIONS crystal
Re 0.062 0.000 0.238
Re 0.938 0.000 0.762
Rh 0.500 0.500 0.000
W 0.500 0.500 0.500
```

Values from the calculation:
Density in Mg/m³: 18.0
Symmetry: No. 10
V in Å³ per atom: 15.231

---

ii | Computed, not measured: an optimized crystal structure of Re2RhW at the PBE level of DFT. Values from VASP.

The structure in Quantum ESPRESSO input format:
```
&SYSTEM
  ibrav = 0, nat = 4, ntyp = 3
/
ATOMIC_SPECIES
Re 186.21 Re.upf
Rh 102.91 Rh.upf
W 183.84 W.upf
CELL_PARAMETERS angstrom
4.588 -1.379 0.000
4.588 1.379 0.000
-0.819 0.000 4.770
ATOMIC_POSITIONS crystal
Re 0.000 0.000 0.000
Re 0.250 0.250 0.764
Rh 0.502 0.502 0.510
W 0.751 0.751 0.268
```

Values from the calculation:
Density in Mg/m³: 18.1
Symmetry: No. 8
V in Å³ per atom: 15.087

---

iii | Computed, not measured: an optimized crystal structure of Re2RhW at the PBE level of DFT. Values from VASP.

The structure in Quantum ESPRESSO input format:
```
&SYSTEM
  ibrav = 0, nat = 4, ntyp = 3
/
ATOMIC_SPECIES
Re 186.21 Re.upf
Rh 102.91 Rh.upf
W 183.84 W.upf
CELL_PARAMETERS angstrom
2.770 -3.950 0.000
2.770 3.950 0.000
0.000 0.000 2.758
ATOMIC_POSITIONS crystal
Re 0.000 0.500 0.000
Re 0.500 0.000 0.000
Rh 0.000 0.000 0.500
W 0.500 0.500 0.500
```

Values from the calculation:
Density in Mg/m³: 18.1
Symmetry: No. 65
V in Å³ per atom: 15.085

---

Stability, descending: ii, iii, i